First-principles (PBE-GGA) data for a relaxed PmPr6Y crystal, as listed in the Alexandria database.

a b c (Å): 5.218 5.218 10.434
angles (deg): 90.00 90.00 90.00
Element x y z (fractional)
Pr  0.500  0.000  0.251
Pr  0.500  0.500  0.000
Pr  0.000  0.500  0.251
Y  0.000  0.000  0.500
Pr  0.500  0.000  0.749
Pm  0.000  0.000  0.000
Pr  0.000  0.500  0.749
Pr  0.500  0.500  0.500

Computed properties:
- Spin magnetization: 0.00 μB per formula unit
- Calculated volume: 35.5 A^3/atom
- Symmetry: P4/mmm
- Density of states at the Fermi level: 1.7308 states/eV per atom


First-principles (PBE-GGA) data for a relaxed PmPr12Y2 crystal, as listed in the Alexandria database.

a b c (Å): 6.632 6.632 25.837
angles (deg): 90.00 90.00 90.00
Element x y z (fractional)
Pr  0.668  0.832  0.562
Y  0.500  0.000  0.727
Pr  0.000  0.000  0.216
Pr  0.168  0.332  0.438
Pr  0.818  0.682  0.115
Pr  0.182  0.318  0.115
Pr  0.332  0.168  0.562
Pm  0.500  0.000  0.000
Y  0.000  0.500  0.273
Pr  0.500  0.500  0.338
Pr  0.818  0.318  0.885
Pr  0.500  0.500  0.216
Pr  0.500  0.500  0.662
Pr  0.668  0.168  0.438
Y  0.000  0.500  0.727
Pr  0.168  0.668  0.562
Pr  0.318  0.182  0.885
Pr  0.000  0.000  0.338
Pr  0.682  0.818  0.885
Y  0.500  0.000  0.273
Pr  0.682  0.182  0.115
Pr  0.318  0.818  0.115
Pr  0.000  0.000  0.662
Pr  0.182  0.682  0.885
Pm  0.000  0.500  0.000
Pr  0.832  0.332  0.562
Pr  0.332  0.832  0.438
Pr  0.832  0.668  0.438
Pr  0.000  0.000  0.784
Pr  0.500  0.500  0.784

Computed properties:
- Spin magnetization: 0.00 μB per formula unit
- Calculated volume: 37.9 A^3/atom
- Symmetry: P4/nbm
- Density of states at the Fermi level: 1.2093 states/eV per atom


First-principles (PBE-GGA) data for a relaxed PmPr6Y12 crystal, as listed in the Alexandria database.

a b c (Å): 8.969 8.969 8.969
angles (deg): 100.29 100.29 100.29
Last column: magnetic moment on the atom in μB.
Element x y z (fractional)
Y  0.545  0.545  0.829  0.09
Y  0.829  0.545  0.545  0.09
Y  0.500  0.116  0.884  0.00
Y  0.545  0.829  0.545  0.09
Pm  0.000  0.000  0.000  -0.01
Pr  0.255  0.782  0.782  0.03
Pr  0.218  0.218  0.745  0.03
Y  0.116  0.884  0.500  0.00
Pr  0.218  0.745  0.218  0.03
Pr  0.782  0.782  0.255  0.03
Y  0.455  0.171  0.455  0.09
Y  0.116  0.500  0.884  0.00
Y  0.171  0.455  0.455  0.09
Y  0.455  0.455  0.171  0.09
Pr  0.745  0.218  0.218  0.03
Pr  0.782  0.255  0.782  0.03
Y  0.500  0.884  0.116  0.00
Y  0.884  0.116  0.500  0.00
Y  0.884  0.500  0.116  0.00

Computed properties:
- Spin magnetization: 1.58 μB per formula unit
- Calculated volume: 35.9 A^3/atom
- Symmetry: R-3m
- Distance to the lowest polymorph of the same formula: 244 meV/atom
- Density of states at the Fermi level: 1.4827 states/eV per atom


First-principles (PBE-GGA) data for a relaxed Pm5Pr2Y6 crystal, as listed in the Alexandria database.

a b c (Å): 3.623 11.861 20.686
angles (deg): 90.00 90.00 90.00
Element x y z (fractional)
Pr  0.000  0.830  0.215
Pm  0.500  0.702  0.550
Pr  0.000  0.170  0.785
Y  0.000  0.058  0.078
Pm  0.500  0.588  0.277
Y  0.500  0.820  0.370
Y  0.500  0.680  0.870
Pr  0.000  0.670  0.715
Y  0.000  0.442  0.578
Y  0.000  0.942  0.922
Pm  0.500  0.088  0.223
Pm  0.500  0.412  0.723
Pm  0.500  0.798  0.050
Y  0.500  0.320  0.130
Pm  0.500  0.500  0.000
Pm  0.500  0.912  0.777
Pr  0.000  0.330  0.285
Pm  0.500  0.298  0.450
Y  0.500  0.180  0.630
Pm  0.500  0.000  0.500
Y  0.000  0.422  0.867
Y  0.000  0.578  0.133
Pm  0.500  0.202  0.950
Y  0.000  0.078  0.367
Y  0.000  0.922  0.633
Y  0.000  0.558  0.422

Computed properties:
- Spin magnetization: 0.00 μB per formula unit
- Calculated volume: 34.2 A^3/atom
- Symmetry: Pbam
- Density of states at the Fermi level: 1.3575 states/eV per atom


Computed values of calculated formation energy (unit: eV per atom) for the preceding records, in sequence: 0.013; 0.301; 0.449; 0.093.